1.
An optimized crystal structure of Pu4Hg5Au2, computed with GGA-PBE.

abc: 3.1839 12.3188 8.0212
angles: 121.42 90.00 90.00
Sites, in units of the cell vectors:
Pu 0.5000 0.4115 0.2609
Pu 0.5000 0.2024 0.7615
Pu 0.5000 0.5885 0.7391
Pu 0.5000 0.7976 0.2385
Hg 0.0000 0.1395 0.0703
Hg 0.0000 0.6792 0.4740
Hg 0.0000 0.5000 0.0000
Hg 0.0000 0.3208 0.5260
Hg 0.0000 0.8605 0.9297
Au 0.0000 0.0482 0.3605
Au 0.0000 0.9518 0.6395

Output
SG: P2/m, No. 10
DFT total energy: -67.09 eV per cell
Crystal system: monoclinic
Size of the total moment: 23.9 μB/cell
ΔH_f (0 K): -0.155 eV/atom

***

2.
An optimized crystal structure of ScCuGe, computed with GGA-PBE.

abc: 5.2893 4.4027 5.2901
angles: 114.61 96.15 65.37
Sites, in units of the cell vectors:
Sc 0.9507 0.0115 0.8152
Sc 0.3769 0.5115 0.2414
Ge 0.3562 0.2225 0.6422
Ge 0.5497 0.7226 0.8362
Cu 0.9337 0.3167 0.4093
Cu 0.7827 0.8169 0.2586

Output
SG: Ima2, No. 46
DFT total energy: -32.48 eV per cell
Crystal system: orthorhombic
Size of the total moment: 0.0 μB/cell
ΔH_f (0 K): -0.399 eV/atom